Material: TlGa2Br
Method: DFT, PBE-GGA
State: optimized geometry

- size of the total moment (μB/cell) = 0.00
- space group = Fm-3m (225)
- formation energy from raw total energies (kcal/mol of atoms) = 1.15
- density of states at the Fermi level (states/eV per cell) = 2.8
- E above lowest polymorph (kJ/mol of formula units) = 1
- crystal system = cubic

a b c (Å): 5.288 5.288 5.288
angles (deg): 60.00 60.00 60.00
Fractional coordinates of all 4 atoms:
Tl  0.500  0.500  0.500
Ga  0.250  0.250  0.250
Ga  0.750  0.750  0.750
Br  0.000  0.000  0.000

=====

Material: AgBiS2N
Method: DFT, PBE-GGA
State: optimized geometry

- size of the total moment (μB/cell) = 1.63
- space group = P4/mmm (123)
- formation energy from raw total energies (kcal/mol of atoms) = 21.18
- density of states at the Fermi level (states/eV per cell) = 1.7
- E above lowest polymorph (kJ/mol of formula units) = 0
- crystal system = tetragonal

a b c (Å): 5.019 5.019 3.993
angles (deg): 90.00 90.00 90.00
Fractional coordinates of all 5 atoms:
S  0.000  0.500  0.000
S  0.500  0.000  0.000
Bi  0.500  0.500  0.500
Ag  0.000  0.000  0.000
N  0.000  0.000  0.500

=====

Material: AlGePb3
Method: DFT, PBE-GGA
State: optimized geometry

- energy relative to the elements (eV per atom) = 0.5758
- size of the total moment (μB/cell) = 0.00
- space group = Pm-3m (221)
- density of states at the Fermi level (states/eV per cell) = 3.4
- E above lowest polymorph (kJ/mol of formula units) = 0
- crystal system = cubic

a b c (Å): 5.413 5.413 5.413
angles (deg): 90.00 90.00 90.00
Fractional coordinates of all 5 atoms:
Pb  0.000  0.500  0.000
Pb  0.000  0.000  0.500
Pb  0.500  0.000  0.000
Ge  0.500  0.500  0.500
Al  0.000  0.000  0.000

=====

Material: ZrSnH
Method: DFT, PBE-GGA
State: optimized geometry

- size of the total moment (μB/cell) = 0.00
- space group = P1 (1)
- density of states at the Fermi level (states/eV per cell) = 1.4
- E above lowest polymorph (kJ/mol of formula units) = 47
- crystal system = triclinic

a b c (Å): 3.492 3.319 5.508
angles (deg): 109.60 89.65 121.95
Fractional coordinates of all 3 atoms:
Zr  0.719  0.364  0.273
Sn  0.219  0.364  0.786
H  0.410  0.745  0.369

=====

Material: Hf2MgSnH
Method: DFT, PBE-GGA
State: optimized geometry

- size of the total moment (μB/cell) = 0.00
- space group = P4/mmm (123)
- density of states at the Fermi level (states/eV per cell) = 2.6
- electronic total energy (eV per atom) = -6.00
- crystal system = tetragonal

a b c (Å): 4.326 4.326 4.605
angles (deg): 90.00 90.00 90.00
Fractional coordinates of all 5 atoms:
H  0.000  0.000  0.000
Mg  0.000  0.000  0.500
Hf  0.000  0.500  0.000
Hf  0.500  0.000  0.000
Sn  0.500  0.500  0.500

=====

Material: CsBaSrCd2
Method: DFT, PBE-GGA
State: optimized geometry

- energy relative to the elements (eV per atom) = 0.3516
- size of the total moment (μB/cell) = 0.00
- space group = P4/mmm (123)
- density of states at the Fermi level (states/eV per cell) = 6.6
- crystal system = tetragonal

a b c (Å): 6.623 7.284 6.623
angles (deg): 90.00 90.00 90.00
Fractional coordinates of all 5 atoms:
Cs  0.500  0.500  0.500
Sr  0.000  0.500  0.000
Ba  0.000  0.000  0.000
Cd  0.000  0.000  0.500
Cd  0.500  0.000  0.000